Computed, not measured: crystalline SrHfS3 at its relaxed geometry at the PBE level of DFT.

CIF file:
```
data_SrHfS3
_cell_length_a 6.979
_cell_length_b 6.979
_cell_length_c 6.979
_cell_angle_alpha 60.13
_cell_angle_beta 60.13
_cell_angle_gamma 60.13
_space_group_name_H-M_alt 'P 1'
_space_group_IT_number 1
_space_group_name_Hall 'P 1'
loop_
_atom_site_label
_atom_site_type_symbol
_atom_site_fract_x
_atom_site_fract_y
_atom_site_fract_z
Sr1 Sr 0.027 0.027 0.027
Sr2 Sr 0.527 0.527 0.527
S1 S 0.131 0.969 0.558
S2 S 0.469 0.631 0.058
S3 S 0.058 0.469 0.631
S4 S 0.631 0.058 0.469
S5 S 0.969 0.558 0.131
S6 S 0.558 0.131 0.969
Hf1 Hf 0.297 0.297 0.297
Hf2 Hf 0.797 0.797 0.797
```

Values from the calculation:
Uncorrected formation energy ... -1.78 eV/atom